LaNd6Tm4: relaxed, PBE-GGA.

```
LaNd6Tm4
1.0
2.935 -4.867 0.000
2.935 4.867 0.000
0.000 0.000 26.044
La Nd Tm
2 12 8
Direct
0.206 0.794 0.750 La
0.794 0.206 0.250 La
0.127 0.873 0.180 Nd
0.127 0.873 0.320 Nd
0.195 0.805 0.597 Nd
0.195 0.805 0.903 Nd
0.454 0.546 0.250 Nd
0.500 0.500 0.000 Nd
0.500 0.500 0.500 Nd
0.546 0.454 0.750 Nd
0.805 0.195 0.097 Nd
0.805 0.195 0.403 Nd
0.873 0.127 0.680 Nd
0.873 0.127 0.820 Nd
0.153 0.847 0.044 Tm
0.153 0.847 0.456 Tm
0.462 0.538 0.124 Tm
0.462 0.538 0.376 Tm
0.538 0.462 0.624 Tm
0.538 0.462 0.876 Tm
0.847 0.153 0.544 Tm
0.847 0.153 0.956 Tm
```

Output
ρ, g/cm3: 7.5
Polymorph energy (0 for the lowest one), meV/atom: 0